Compound: KYHg6
Source: Alexandria via LeMat-Bulk
Functional: PBE
Structure: relaxed

a = 5.3145 Å, b = 5.6862 Å, c = 6.9563 Å
α = 90.00°, β = 90.00°, γ = 90.00°
Element x y z (fractional)
Hg 0.5000 0.8345 0.7315
Hg 0.0000 0.6729 0.5000
Hg 0.5000 0.8345 0.2685
Hg 0.0000 0.1761 0.2671
Hg 0.5000 0.2836 0.0000
Hg 0.0000 0.1761 0.7329
K 0.0000 0.6696 0.0000
Y 0.5000 0.3528 0.5000

Values from the calculation:
DOS at the Fermi energy: 0.46 states/eV per atom

=====

Compound: RbCd2Ag
Source: Alexandria via LeMat-Bulk
Functional: PBE
Structure: relaxed

a = 4.9536 Å, b = 4.9536 Å, c = 7.0026 Å
α = 69.29°, β = 69.29°, γ = 60.00°
Element x y z (fractional)
Cd 0.6911 0.6911 0.9267
Cd 0.3089 0.3089 0.0733
Rb 0.5000 0.5000 0.5000
Ag 0.0000 0.0000 0.0000

Values from the calculation:
Energy above the lowest structure with this stoichiometry: 0.0031 eV per atom
DOS at the Fermi energy: 0.61 states/eV per atom

=====

no.,ΔH_f (0 K) (eV per atom)
1,-0.23
2,-0.06